# Co2CuN, relaxed, DFT PBE-GGA
# Calculated total energy = -6.398 eV/atom
# DOS(E_F) = 0.62 states/eV per atom
# Space group = No. 122
data_Co2CuN
_cell_length_a 5.7797
_cell_length_b 5.7797
_cell_length_c 4.8358
_cell_angle_alpha 53.30
_cell_angle_beta 53.30
_cell_angle_gamma 90.00
_symmetry_space_group_name_H-M 'P 1'
_symmetry_Int_Tables_number 1
_symmetry_space_group_name_Hall 'P 1'
loop_
_atom_site_label
_atom_site_type_symbol
_atom_site_fract_x
_atom_site_fract_y
_atom_site_fract_z
Cu1 Cu 0.0000 0.0000 0.0000
Cu2 Cu 0.7500 0.2500 0.5000
Co1 Co 0.3750 0.4875 0.7500
Co2 Co 0.2375 0.6250 0.2500
Co3 Co 0.8750 0.7625 0.7500
Co4 Co 0.5125 0.1250 0.2500
N1 N 0.5000 0.5000 0.0000
N2 N 0.2500 0.7500 0.5000